MgTi2Pb | PBE-GGA | relaxed

Summary:
density of states at the Fermi level: 1.0102 states/eV per atom
E_form: 23.6 meV per atom
electronic total energy: -5.250 eV/atom
SG: P4/mmm

abc: 4.4294 4.1920 4.1920
angles: 90.00 90.00 90.00
Last column: nearest neighbours and their distance in Å.
Fractional coordinates of all 4 atoms:
Pb (0.5000, 0.5000, 0.5000)  4 Mg 2.96, 8 Ti 3.05
Mg (0.5000, 0.0000, 0.0000)  4 Pb 2.96, 8 Ti 3.05
Ti (0.0000, 0.0000, 0.5000)  4 Ti 2.96, 4 Pb 3.05, 4 Mg 3.05
Ti (0.0000, 0.5000, 0.0000)  4 Ti 2.96, 4 Mg 3.05, 4 Pb 3.05